Record 1
VASP calculation (GGA-PBE) on crystalline Er3Ge13Rh4 at its relaxed geometry.

Structure (POSCAR):
```
Er3Ge13Rh4
1.0
8.996 0.000 0.000
0.000 8.996 0.000
0.000 0.000 8.996
Ge Rh Er
26 8 6
Direct
0.853 0.689 0.000
0.853 0.311 0.000
0.000 0.853 0.311
0.189 0.647 0.500
0.500 0.500 0.500
0.147 0.689 0.000
0.000 0.147 0.689
0.000 0.147 0.311
0.647 0.500 0.811
0.353 0.500 0.189
0.500 0.811 0.353
0.353 0.500 0.811
0.000 0.000 0.000
0.147 0.311 0.000
0.500 0.189 0.353
0.000 0.853 0.689
0.811 0.353 0.500
0.189 0.353 0.500
0.500 0.811 0.647
0.311 0.000 0.853
0.689 0.000 0.147
0.689 0.000 0.853
0.500 0.189 0.647
0.647 0.500 0.189
0.811 0.647 0.500
0.311 0.000 0.147
0.750 0.750 0.250
0.250 0.750 0.250
0.250 0.250 0.250
0.250 0.250 0.750
0.750 0.750 0.750
0.750 0.250 0.750
0.750 0.250 0.250
0.250 0.750 0.750
0.250 0.000 0.500
0.000 0.500 0.750
0.500 0.250 0.000
0.750 0.000 0.500
0.000 0.500 0.250
0.500 0.750 0.000
```

Summary:
The mass density comes out at 8.47 Mg/m³. The total energy comes out at -5.6928 eV per atom.

***

Record 2
VASP calculation (GGA-PBE) on crystalline Er2Ge7Rh12 at its relaxed geometry.

Structure (POSCAR):
```
Er2Ge7Rh12
1.0
3.890 0.000 0.000
0.000 8.618 -4.976
0.000 0.000 9.951
Rh Ge Er
12 7 2
Direct
0.500 0.574 0.775
0.000 0.458 0.515
0.500 0.393 0.285
0.000 0.057 0.542
0.500 0.892 0.607
0.000 0.779 0.732
0.000 0.268 0.047
0.500 0.201 0.426
0.000 0.485 0.943
0.500 0.225 0.799
0.000 0.953 0.221
0.500 0.715 0.108
0.500 0.625 0.553
0.500 0.447 0.072
0.000 0.048 0.783
0.500 0.928 0.375
0.000 0.217 0.265
0.000 0.333 0.667
0.000 0.735 0.952
0.000 0.667 0.333
0.500 0.000 0.000
```

Summary:
The mass density comes out at 10.34 Mg/m³. The total energy comes out at -6.8818 eV per atom.

***

Record 3
VASP calculation (GGA-PBE) on crystalline ErGe2Rh3 at its relaxed geometry.

Structure (POSCAR):
```
ErGe2Rh3
1.0
4.021 0.000 0.000
-2.011 7.776 -2.521
0.000 -0.012 9.747
Rh Ge Er
9 6 3
Direct
0.039 0.077 0.329
0.784 0.569 0.608
0.961 0.923 0.671
0.681 0.362 0.958
0.383 0.765 0.806
0.617 0.235 0.194
0.319 0.638 0.042
0.500 0.000 0.500
0.216 0.431 0.392
0.192 0.384 0.127
0.460 0.921 0.218
0.808 0.616 0.873
0.540 0.079 0.782
0.638 0.277 0.454
0.362 0.723 0.546
0.164 0.327 0.705
0.836 0.673 0.295
0.000 0.000 0.000
```

Summary:
The mass density comes out at 10.16 Mg/m³. The total energy comes out at -6.7670 eV per atom.

***

Record 4
VASP calculation (GGA-PBE) on crystalline ErGe4Rh4 at its relaxed geometry.

Structure (POSCAR):
```
ErGe4Rh4
1.0
6.132 0.000 0.000
0.000 6.132 0.000
0.000 0.000 8.167
Ge Er Rh
8 2 8
Direct
0.500 0.788 0.818
0.712 0.000 0.318
0.500 0.212 0.818
0.212 0.500 0.182
0.288 0.000 0.318
0.000 0.288 0.682
0.788 0.500 0.182
0.000 0.712 0.682
0.500 0.500 0.500
0.000 0.000 0.000
0.771 0.500 0.881
0.271 0.000 0.619
0.000 0.729 0.381
0.729 0.000 0.619
0.000 0.271 0.381
0.500 0.771 0.119
0.229 0.500 0.881
0.500 0.229 0.119
```

Summary:
The mass density comes out at 9.40 Mg/m³. The total energy comes out at -6.3864 eV per atom.

***

Q: Among the records above, which one has the lowest mass density?
A: Er3Ge13Rh4